(1)
## MnBSb2I (PBE-GGA)

Data for crystalline MnBSb2I at its relaxed geometry.

ΔE to the lowest computed polymorph ... 0.0 kJ per mole of atoms
ΔE_f (raw) ... 1010 meV per atom
Crystal system ... tetragonal
Space group ... P4/mmm

a b c (Å): 4.889 4.889 4.951
angles (deg): 90.00 90.00 90.00
Fractional coordinates of all 5 atoms:
I: 0.000 0.000 0.500
B: 0.000 0.000 0.000
Sb: 0.000 0.500 0.000
Sb: 0.500 0.000 0.000
Mn: 0.500 0.500 0.500

---

(2)
## LaNdBr (PBE-GGA)

Data for crystalline LaNdBr at its relaxed geometry.

ΔE_f (raw) ... -758 meV per atom
Crystal system ... trigonal
Space group ... P3m1

a b c (Å): 3.864 3.864 7.752
angles (deg): 90.00 90.00 120.00
Fractional coordinates of all 3 atoms:
Br: 0.667 0.333 0.340
Nd: 0.333 0.667 0.642
La: 0.000 0.000 0.018

---

(3)
## LiScTe (PBE-GGA)

Data for crystalline LiScTe at its relaxed geometry.

ΔE to the lowest computed polymorph ... 33.6 kJ per mole of atoms
ΔE_f (raw) ... -352 meV per atom
Crystal system ... cubic
Space group ... F-43m

a b c (Å): 4.756 4.756 4.756
angles (deg): 60.00 60.00 60.00
Fractional coordinates of all 3 atoms:
Sc: 0.750 0.750 0.750
Te: 0.000 0.000 0.000
Li: 0.500 0.500 0.500